No. 1
Material: La2Zn3InPd4
Method: DFT, PBE
State: relaxed

Calculated values
Symmetry: P-4m2
Fermi-level density of states (states/eV per cell): 5.28
Energy of formation (eV per atom): -0.64

Unit cell a=4.318 b=4.318 c=11.016 alpha=90.00 beta=90.00 gamma=90.00
Fractional coordinates of all 10 atoms:
La: 0.000 0.500 0.238
La: 0.500 0.000 0.762
Zn: 0.000 0.500 0.876
Zn: 0.500 0.000 0.124
Zn: 0.500 0.500 0.500
In: 0.000 0.000 0.500
Pd: 0.000 0.000 0.000
Pd: 0.000 0.500 0.648
Pd: 0.500 0.000 0.352
Pd: 0.500 0.500 0.000


No. 2
Material: La2ZnIn6Pd
Method: DFT, PBE
State: relaxed

Calculated values
Symmetry: C2/m
Fermi-level density of states (states/eV per cell): 3.55
Energy of formation (eV per atom): -0.17

Unit cell a=7.322 b=7.322 c=6.947 alpha=118.07 beta=118.07 gamma=89.87
Fractional coordinates of all 10 atoms:
La: 0.237 0.763 0.000
La: 0.763 0.237 0.000
Zn: 0.500 0.500 0.500
In: 0.252 0.748 0.500
In: 0.254 0.254 0.504
In: 0.264 0.264 0.000
In: 0.736 0.736 0.000
In: 0.746 0.746 0.496
In: 0.748 0.252 0.500
Pd: 0.000 0.000 0.500


No. 3
Material: La3Zn2InPd6
Method: DFT, PBE
State: relaxed

Calculated values
Symmetry: P-3m1
Fermi-level density of states (states/eV per cell): 6.22
Energy of formation (eV per atom): -0.65

Unit cell a=5.772 b=5.772 c=8.966 alpha=90.00 beta=90.00 gamma=120.00
Fractional coordinates of all 12 atoms:
La: 0.000 0.000 0.000
La: 0.333 0.667 0.629
La: 0.667 0.333 0.371
Zn: 0.333 0.667 0.019
Zn: 0.667 0.333 0.981
In: 0.000 0.000 0.500
Pd: 0.174 0.349 0.265
Pd: 0.174 0.826 0.265
Pd: 0.349 0.174 0.735
Pd: 0.651 0.826 0.265
Pd: 0.826 0.174 0.735
Pd: 0.826 0.651 0.735


What did the second record say?
Material: La2ZnIn6Pd
Method: DFT, PBE
State: relaxed

Calculated values
Symmetry: C2/m
Fermi-level density of states (states/eV per cell): 3.55
Energy of formation (eV per atom): -0.17

Unit cell a=7.322 b=7.322 c=6.947 alpha=118.07 beta=118.07 gamma=89.87
Fractional coordinates of all 10 atoms:
La: 0.237 0.763 0.000
La: 0.763 0.237 0.000
Zn: 0.500 0.500 0.500
In: 0.252 0.748 0.500
In: 0.254 0.254 0.504
In: 0.264 0.264 0.000
In: 0.736 0.736 0.000
In: 0.746 0.746 0.496
In: 0.748 0.252 0.500
Pd: 0.000 0.000 0.500


- Which of these has the lowest Fermi-level density of states?
  La2ZnIn6Pd


- Number 1 is which compound?
  La2Zn3InPd4


- Fermi-level density of states of number 1 (La2Zn3InPd4)?
  5.28 states/eV per cell